Density functional theory data (PBE+U) for a geometry-optimized MnGeF2 structure.

a = 8.167 Å, b = 8.167 Å, c = 8.167 Å
α = 21.36°, β = 21.36°, γ = 21.36°
Each line ends with the local moment (μB).
Fractional coordinates of all 4 atoms:
Ge1 0.500 0.500 0.500  0.07
Mn1 0.000 0.000 0.000  4.24
F1 0.921 0.921 0.921  0.01
F2 0.079 0.079 0.079  0.01

Summary:
symmetry: R-3m, No. 166
ρ: 4.34 Mg/m³
total magnetization: 4.5 μB/f.u.
DFT total energy: -0.1895 Ha/atom